Rb4Sm3PuTe8 | PBE | optimized geometry Values from VASP.

The structure in Quantum ESPRESSO input format:
```
&SYSTEM
  ibrav = 0, nat = 16, ntyp = 4
/
ATOMIC_SPECIES
Rb 85.47 Rb.upf
Sm 150.36 Sm.upf
Pu 244.00 Pu.upf
Te 127.60 Te.upf
ATOMIC_POSITIONS crystal
Rb 0.500 0.000 0.000
Rb 0.500 0.000 0.500
Rb 0.000 0.000 0.000
Rb 0.000 0.000 0.500
Sm 0.500 0.500 0.000
Sm 0.500 0.500 0.500
Sm 0.000 0.500 0.500
Pu 0.000 0.500 0.000
Te 0.234 0.702 0.968
Te 0.234 0.702 0.468
Te 0.266 0.297 0.531
Te 0.734 0.702 0.968
Te 0.266 0.298 0.032
Te 0.734 0.703 0.469
Te 0.766 0.298 0.532
Te 0.766 0.298 0.032
CELL_PARAMETERS angstrom
-5.481 -4.551 5.857
3.456 -8.759 -3.572
6.222 5.998 3.221
```

Results
Fermi-level density of states: 0.87 states/eV/atom
DFT total energy: -78.61 eV per cell
Volume: 39.35 Å³ per atom
Energy relative to the elements, uncorrected: -1320 meV/atom